First-principles (GGA-PBE) data for an optimized crystal structure of Pm2UTl3Se6, as listed in Alexandria via LeMat-Bulk.

Lattice parameters (Å, degrees): 7.388 7.388 8.157 98.68 98.68 119.95
Fractional coordinates of all 12 atoms:
Pm 0.167 0.833 0.000
Pm 0.833 0.167 0.000
U 0.500 0.500 0.000
Tl 0.000 0.000 0.500
Tl 0.332 0.668 0.500
Tl 0.668 0.332 0.500
Se 0.103 0.431 0.792
Se 0.242 0.242 0.209
Se 0.431 0.103 0.792
Se 0.569 0.897 0.208
Se 0.758 0.758 0.791
Se 0.897 0.569 0.208

Properties
E_form (uncorrected) ... -1.20 eV per atom
V ... 30.7 A^3/atom
Energy ... -63.19 eV/f.u.



First-principles (GGA-PBE) data for an optimized crystal structure of Sm4AlPd, as listed in Alexandria via LeMat-Bulk.

Lattice parameters (Å, degrees): 10.907 10.907 6.435 90.00 90.00 151.56
Fractional coordinates of all 12 atoms:
Sm 0.056 0.944 0.500
Sm 0.193 0.807 0.780
Sm 0.211 0.789 0.295
Sm 0.388 0.612 0.550
Sm 0.612 0.388 0.050
Sm 0.789 0.211 0.795
Sm 0.807 0.193 0.280
Sm 0.944 0.056 0.000
Al 0.342 0.658 0.032
Al 0.658 0.342 0.532
Pd 0.076 0.924 0.006
Pd 0.924 0.076 0.506

Properties
V ... 30.4 A^3/atom
Formation energy from the elements ... -5.31 kcal/mol of atoms
Energy ... -29.19 eV/f.u.



First-principles (GGA-PBE) data for an optimized crystal structure of SbPbS2, as listed in Alexandria via LeMat-Bulk.

Lattice parameters (Å, degrees): 3.832 3.832 23.711 90.00 90.00 120.00
Fractional coordinates of all 12 atoms:
Sb 0.000 0.000 0.000
Sb 0.333 0.667 0.667
Sb 0.667 0.333 0.333
Pb 0.000 0.000 0.831
Pb 0.333 0.667 0.497
Pb 0.667 0.333 0.164
S 0.000 0.000 0.405
S 0.000 0.000 0.596
S 0.333 0.667 0.072
S 0.333 0.667 0.262
S 0.667 0.333 0.739
S 0.667 0.333 0.929

Properties
E_form (uncorrected) ... -0.20 eV per atom
V ... 25.1 A^3/atom
Energy ... -16.88 eV/f.u.



First-principles (GGA-PBE) data for an optimized crystal structure of Cu5GePt2, as listed in Alexandria via LeMat-Bulk.

Lattice parameters (Å, degrees): 5.377 10.724 3.705 90.00 90.00 90.00
Fractional coordinates of all 16 atoms:
Cu 0.000 0.000 0.000
Cu 0.024 0.248 0.000
Cu 0.223 0.868 0.500
Cu 0.277 0.368 0.500
Cu 0.476 0.748 0.000
Cu 0.500 0.500 0.000
Cu 0.524 0.252 0.000
Cu 0.723 0.632 0.500
Cu 0.777 0.132 0.500
Cu 0.976 0.752 0.000
Ge 0.000 0.500 0.000
Ge 0.500 0.000 0.000
Pt 0.228 0.620 0.500
Pt 0.272 0.120 0.500
Pt 0.728 0.880 0.500
Pt 0.772 0.380 0.500

Properties
V ... 13.4 A^3/atom
Formation energy from the elements ... -4.26 kcal/mol of atoms
Energy ... -38.66 eV/f.u.



First-principles (GGA-PBE) data for an optimized crystal structure of Mg2Tl2Pb, as listed in Alexandria via LeMat-Bulk.

Lattice parameters (Å, degrees): 3.579 5.336 14.015 90.00 93.86 90.00
Fractional coordinates of all 10 atoms:
Mg 0.023 0.250 0.105
Mg 0.083 0.750 0.269
Mg 0.917 0.250 0.731
Mg 0.977 0.750 0.895
Tl 0.272 0.250 0.534
Tl 0.478 0.250 0.915
Tl 0.522 0.750 0.085
Tl 0.728 0.750 0.466
Pb 0.436 0.750 0.704
Pb 0.564 0.250 0.296

Properties
V ... 26.7 A^3/atom
Formation energy from the elements ... -0.58 kcal/mol of atoms
Energy ... -11.76 eV/f.u.
Energy above the lowest structure with this stoichiometry ... 0 meV/atom



First-principles (GGA-PBE) data for an optimized crystal structure of Ti4FeNi, as listed in Alexandria via LeMat-Bulk.

Lattice parameters (Å, degrees): 4.244 9.632 4.235 90.00 90.00 90.00
Fractional coordinates of all 12 atoms:
Ti 0.000 0.155 0.000
Ti 0.000 0.344 0.500
Ti 0.000 0.656 0.500
Ti 0.000 0.845 0.000
Ti 0.500 0.156 0.500
Ti 0.500 0.345 0.000
Ti 0.500 0.655 0.000
Ti 0.500 0.844 0.500
Fe 0.000 0.000 0.500
Fe 0.500 0.500 0.500
Ni 0.000 0.500 0.000
Ni 0.500 0.000 0.000

Properties
V ... 14.4 A^3/atom
Formation energy from the elements ... -5.85 kcal/mol of atoms
Energy ... -47.35 eV/f.u.
Energy above the lowest structure with this stoichiometry ... 12 meV/atom



First-principles (GGA-PBE) data for an optimized crystal structure of Th2TlH, as listed in Alexandria via LeMat-Bulk.

Lattice parameters (Å, degrees): 7.106 5.099 10.416 90.00 90.00 90.00
Fractional coordinates of all 16 atoms:
Th 0.096 0.250 0.208
Th 0.142 0.250 0.562
Th 0.358 0.750 0.062
Th 0.404 0.750 0.708
Th 0.596 0.250 0.292
Th 0.642 0.250 0.938
Th 0.858 0.750 0.438
Th 0.904 0.750 0.792
Tl 0.169 0.250 0.882
Tl 0.331 0.750 0.382
Tl 0.669 0.250 0.618
Tl 0.831 0.750 0.118
H 0.094 0.750 0.608
H 0.406 0.250 0.108
H 0.594 0.750 0.892
H 0.906 0.250 0.392

Properties
V ... 23.6 A^3/atom
Energy ... -21.37 eV/f.u.
Energy above the lowest structure with this stoichiometry ... 0 meV/atom



First-principles (GGA-PBE) data for an optimized crystal structure of Ba2Al2Si, as listed in Alexandria via LeMat-Bulk.

Lattice parameters (Å, degrees): 7.241 7.241 5.481 90.00 90.00 90.00
Fractional coordinates of all 10 atoms:
Ba 0.179 0.321 0.000
Ba 0.321 0.821 0.000
Ba 0.679 0.179 0.000
Ba 0.821 0.679 0.000
Al 0.133 0.633 0.500
Al 0.367 0.133 0.500
Al 0.633 0.867 0.500
Al 0.867 0.367 0.500
Si 0.000 0.000 0.500
Si 0.500 0.500 0.500

Properties
E_form (uncorrected) ... -0.03 eV per atom
V ... 28.7 A^3/atom
Energy ... -16.92 eV/f.u.
Energy above the lowest structure with this stoichiometry ... 149 meV/atom